Computed, not measured: K2Mg2Cd at its PBEsol-relaxed geometry at the meta-GGA SCAN level of DFT.

The structure belongs to space group I4/mmm (No. 139); the cell edges are 4.173, 4.173 and 22.086 Å and the angles 90.00°, 90.00° and 90.00°. The inequivalent atoms are K at (0.000, 0.000, 0.101), Mg at (0.000, 0.500, 0.250) and Cd at (0.000, 0.000, 0.500).

Its total DFT energy (no corrections) is -56.118 eV per formula unit. The energy of formation comes out at 0.18 eV per atom. For the density of states at the Fermi level, the calculation gives 0.52 states/eV/atom.



Computed, not measured: K2MgCd2 at its PBEsol-relaxed geometry at the meta-GGA SCAN level of DFT.

The structure belongs to space group P4/mbm (No. 127); the cell edges are 7.816, 7.816 and 5.619 Å and the angles 90.00°, 90.00° and 90.00°. The inequivalent atoms are K at (0.176, 0.324, 0.000), Mg at (0.000, 0.000, 0.500) and Cd at (0.132, 0.632, 0.500).

Its total DFT energy (no corrections) is -82.496 eV per formula unit. The energy of formation comes out at -0.01 eV per atom. For the density of states at the Fermi level, the calculation gives 0.49 states/eV/atom.